Entry 1:
A relaxed Cs2SrGeO4 crystal, computed with PBE.

Computed properties:
The space group is No. 70.

abc: 5.935 6.960 12.885
angles: 84.37 76.69 64.77
Fractional coordinates of all 16 atoms:
Ge1 0.500 0.000 0.000
Ge2 0.250 0.500 0.500
O1 0.559 0.174 0.075
O2 0.191 0.326 0.425
O3 0.807 0.826 0.925
O4 0.383 0.674 0.425
O5 0.482 0.326 0.575
O6 0.943 0.674 0.575
O7 0.367 0.826 0.075
O8 0.268 0.174 0.925
Sr1 0.000 0.000 0.000
Sr2 0.750 0.500 0.500
Cs1 0.563 0.500 0.873
Cs2 0.937 0.500 0.127
Cs3 0.813 0.000 0.373
Cs4 0.187 0.000 0.627

---

Entry 2:
A relaxed Cs3SrGe2O6 crystal, computed with PBE.

Computed properties:
The space group is No. 164.

abc: 6.461 6.461 8.013
angles: 90.00 90.00 120.00
Fractional coordinates of all 12 atoms:
Sr1 0.000 0.000 0.500
Cs1 0.333 0.667 0.712
Cs2 0.000 0.000 0.000
Cs3 0.667 0.333 0.288
O1 0.820 0.640 0.694
O2 0.180 0.820 0.306
O3 0.820 0.180 0.694
O4 0.360 0.180 0.694
O5 0.640 0.820 0.306
O6 0.180 0.360 0.306
Ge1 0.667 0.333 0.733
Ge2 0.333 0.667 0.267

---

Entry 3:
A relaxed Cs2SrGe2O6 crystal, computed with PBE.

Computed properties:
The space group is No. 12.

abc: 6.374 6.370 7.647
angles: 114.25 90.00 120.02
Fractional coordinates of all 11 atoms:
O1 0.758 0.980 0.736
O2 0.756 0.511 0.731
O3 0.778 0.020 0.264
O4 0.222 0.980 0.736
O5 0.244 0.489 0.269
O6 0.242 0.020 0.264
Ge1 0.910 0.820 0.729
Ge2 0.090 0.180 0.271
Sr1 0.500 0.000 0.500
Cs1 0.293 0.586 0.878
Cs2 0.707 0.414 0.122

---

Entry 4:
A relaxed CsTa2GeO8 crystal, computed with PBE.

Computed properties:
The space group is No. 147.

abc: 5.603 5.603 8.650
angles: 90.00 90.00 120.00
Fractional coordinates of all 12 atoms:
O1 0.773 0.077 0.372
O2 0.227 0.923 0.628
O3 0.923 0.696 0.372
O4 0.333 0.667 0.897
O5 0.667 0.333 0.103
O6 0.696 0.773 0.628
O7 0.077 0.304 0.628
O8 0.304 0.227 0.372
Ge1 0.000 0.000 0.500
Ta1 0.333 0.667 0.687
Ta2 0.667 0.333 0.313
Cs1 0.000 0.000 0.000

---

V per entry: 234; 290; 237; 235 Å³/f.u.
Raw formation energy per entry: -14.0; -20.8; -20.4; -25.7 eV per formula unit